Entry 1:
5
Lattice="4.5937 0.0000 0.0000 0.0000 4.5937 0.0000 0.0000 0.0000 4.5937" Properties=species:S:1:pos:R:3 comment="ReTc3W | Alexandria via LeMat-Bulk | GGA-PBE | optimized geometry" e_tot_ev_per_atom=-9.09 rho_g_cm3=11.4 formation_energy_ev_per_atom=2.21 relative_energy_kcal_per_mol_atoms=48.86 dos_at_fermi_per_ev_atom=1.886 spacegroup=Pm-3m pbc="T T T"
Re 0.0000 0.0000 0.0000
Tc 0.0000 2.2969 2.2969
Tc 2.2969 0.0000 2.2969
Tc 2.2969 2.2969 0.0000
W 2.2969 2.2969 2.2969

Entry 2:
12
Lattice="4.2468 -6.7227 0.0000 4.2468 6.7227 0.0000 -1.9547 0.0000 5.1092" Properties=species:S:1:pos:R:3 comment="Pu4GePd | Alexandria via LeMat-Bulk | GGA-PBE | optimized geometry" e_tot_ev_per_atom=-11.42 rho_g_cm3=13.1 formation_energy_ev_per_atom=-0.23 dos_at_fermi_per_ev_atom=4.548 spacegroup=C2/c pbc="T T T"
Pu 1.4113 4.1696 4.7038
Pu 1.3793 1.0518 3.3151
Pu 4.1503 4.1696 2.9601
Pu 2.3566 -1.0518 0.7605
Pu 4.1823 1.0518 4.3488
Pu 2.3886 -4.1696 2.1492
Pu 5.1596 -1.0518 1.7942
Pu 5.1276 -4.1696 0.4055
Ge 3.7581 1.6199 1.2773
Ge 2.7808 -1.6199 3.8319
Pd 3.7581 6.6627 1.2773
Pd 2.7808 -6.6627 3.8319

Entry 3:
5
Lattice="6.5280 0.0000 0.0000 0.0000 6.5280 0.0000 0.0000 0.0000 6.7346" Properties=species:S:1:pos:R:3 comment="K2BaBiSb | Alexandria via LeMat-Bulk | GGA-PBE | optimized geometry" e_tot_ev_per_atom=-2.50 rho_g_cm3=3.2 e_form_raw_mev_per_atom=-78 dos_at_fermi_per_ev_atom=1.401 spacegroup=P4/mmm pbc="T T T"
K 0.0000 3.2640 0.0000
K 3.2640 0.0000 0.0000
Ba 0.0000 0.0000 3.3673
Bi 0.0000 0.0000 0.0000
Sb 3.2640 3.2640 3.3673

Entry 4:
10
Lattice="1.8372 -5.2526 0.0000 1.8372 5.2526 0.0000 0.0000 0.0000 7.2275" Properties=species:S:1:pos:R:3 comment="HoCr2SiC | Alexandria via LeMat-Bulk | GGA-PBE | optimized geometry" e_tot_ev_per_atom=-8.11 rho_g_cm3=7.4 e_form_raw_mev_per_atom=-415 dos_at_fermi_per_ev_atom=0.612 spacegroup=Cmcm pbc="T T T"
Ho 1.8372 4.8597 5.4207
Ho 1.8372 -4.8597 1.8069
Cr 1.8372 1.8357 4.0393
Cr 1.8372 1.8357 6.8021
Cr 1.8372 -1.8357 0.4255
Cr 1.8372 -1.8357 3.1883
Si 1.8372 2.7283 1.8069
Si 1.8372 -2.7283 5.4207
C 1.8372 0.0000 0.0000
C 1.8372 0.0000 3.6138

Entry 5:
3
Lattice="4.2361 0.0000 0.0000 -2.1181 3.6686 0.0000 0.0000 0.0000 4.0370" Properties=species:S:1:pos:R:3 comment="EuBeGa | Alexandria via LeMat-Bulk | GGA-PBE | optimized geometry" e_tot_ev_per_atom=-5.84 rho_g_cm3=6.1 formation_energy_ev_per_atom=-0.17 dos_at_fermi_per_ev_atom=2.014 spacegroup=P3m1 pbc="T T T"
Eu 0.0000 0.0000 0.0000
Be 0.0000 2.4457 2.0124
Ga 2.1181 1.2229 2.0175

Entry 6:
20
Lattice="7.2902 0.0000 0.0000 0.0000 10.3070 0.0000 0.0000 0.0000 7.2910" Properties=species:S:1:pos:R:3 comment="Rb2UInS6 | Alexandria via LeMat-Bulk | GGA-PBE | optimized geometry" e_tot_ev_per_atom=-5.00 rho_g_cm3=4.3 e_form_raw_mev_per_atom=-929 dos_at_fermi_per_ev_atom=0.661 spacegroup=Pmmn pbc="T T T"
Rb 1.8226 0.0003 1.8203
Rb 1.8226 5.1532 1.8203
Rb 5.4677 10.3067 5.4708
Rb 5.4677 5.1538 5.4708
U 1.8226 2.5768 5.4633
U 5.4677 7.7303 1.8277
In 1.8226 7.7303 5.4736
In 5.4677 2.5768 1.8175
S 0.0319 2.5768 3.6714
S 0.0306 2.5768 7.2546
S 1.8226 0.0428 5.4638
S 1.8226 5.1107 5.4638
S 3.6133 2.5768 3.6714
S 3.6145 2.5768 7.2546
S 3.6757 7.7303 0.0364
S 3.6770 7.7303 3.6197
S 5.4677 5.1963 1.8272
S 5.4677 10.2642 1.8272
S 7.2597 7.7303 0.0364
S 7.2584 7.7303 3.6197

Entry 7:
10
Lattice="4.6280 -2.0254 0.0000 4.6280 2.0254 0.0000 -0.2445 0.0000 5.4884" Properties=species:S:1:pos:R:3 comment="V3HN | Alexandria via LeMat-Bulk | GGA-PBE | optimized geometry" e_tot_ev_per_atom=-8.18 rho_g_cm3=5.4 relative_energy_kcal_per_mol_atoms=1.38 dos_at_fermi_per_ev_atom=0.545 spacegroup=C2/m pbc="T T T"
V 0.4228 0.0000 1.2997
V 1.9636 0.0000 3.3348
V 3.1405 0.0000 0.4589
V 5.8709 0.0000 5.0295
V 7.0479 0.0000 2.1535
V 8.5886 0.0000 4.1886
H 3.4721 0.0000 2.2779
H 5.5394 0.0000 3.2105
N 1.1037 0.0000 5.0822
N 7.9077 0.0000 0.4062

Entry 8:
18
Lattice="8.8531 0.0000 0.0000 -4.4265 7.6670 0.0000 0.0000 0.0000 3.6061" Properties=species:S:1:pos:R:3 comment="TmB2Ir3 | Alexandria via LeMat-Bulk | GGA-PBE | optimized geometry" e_tot_ev_per_atom=-7.79 rho_g_cm3=15.6 formation_energy_ev_per_atom=-0.39 dos_at_fermi_per_ev_atom=0.633 spacegroup=P6/mmm pbc="T T T"
Tm 0.0000 0.0000 0.0000
Tm 0.0000 5.1113 1.8031
Tm 4.4265 2.5557 1.8031
B 0.0000 2.9235 0.0000
B -1.8947 6.2052 0.0000
B 2.5318 1.4618 0.0000
B 1.8947 6.2052 0.0000
B 6.3212 1.4618 0.0000
B 4.4265 4.7435 0.0000
Ir -1.2496 2.1643 1.8031
Ir -2.2133 3.8335 0.0000
Ir -3.1770 5.5027 1.8031
Ir 2.4991 0.0000 1.8031
Ir 1.2496 2.1643 1.8031
Ir 4.4265 0.0000 0.0000
Ir 2.2133 3.8335 0.0000
Ir 6.3540 0.0000 1.8031
Ir 3.1770 5.5027 1.8031

Entry 9:
8
Lattice="3.3866 0.0000 0.0000 0.0000 5.6833 0.0000 0.0000 0.0000 10.1294" Properties=species:S:1:pos:R:3 comment="SbAuCl2 | Alexandria via LeMat-Bulk | GGA-PBE | optimized geometry" e_tot_ev_per_atom=-2.75 rho_g_cm3=6.6 e_form_raw_mev_per_atom=18 relative_energy_kcal_per_mol_atoms=10.71 dos_at_fermi_per_ev_atom=0.280 spacegroup=Cmmm pbc="T T T"
Sb 0.0000 0.0000 0.0000
Sb 1.6933 2.8417 0.0000
Au 0.0000 0.0000 5.0647
Au 1.6933 2.8417 5.0647
Cl 0.0000 2.8417 2.1174
Cl 0.0000 2.8417 8.0120
Cl 1.6933 0.0000 2.1174
Cl 1.6933 0.0000 8.0120

Entry 10:
19
Lattice="4.4747 2.5834 4.4392 -4.4747 2.5834 4.4392 0.0000 -5.1669 4.4392" Properties=species:S:1:pos:R:3 comment="PaZn17Ag | Alexandria via LeMat-Bulk | GGA-PBE | optimized geometry" e_tot_ev_per_atom=-1.82 rho_g_cm3=7.8 formation_energy_ev_per_atom=-0.03 dos_at_fermi_per_ev_atom=0.485 spacegroup=R3m pbc="T T T"
Pa 0.0000 0.0000 0.0000
Zn 0.0000 -2.5623 2.3348
Zn -2.2191 1.2812 2.3348
Zn -2.2847 -1.3191 6.7305
Zn 0.0000 -2.5981 6.4284
Zn -2.2500 1.2990 6.4284
Zn -1.3107 -2.4337 8.8724
Zn -2.7630 0.0817 8.8724
Zn 2.2191 1.2812 2.3348
Zn 0.0000 0.0000 7.4861
Zn 1.3107 -2.4337 8.8724
Zn -1.4523 2.3519 8.8724
Zn 2.2847 -1.3191 6.7305
Zn 0.0000 2.6381 6.7305
Zn 0.0000 0.0000 10.1499
Zn 2.2500 1.2990 6.4284
Zn 2.7630 0.0817 8.8724
Zn 1.4523 2.3520 8.8724
Ag 0.0000 0.0000 3.3403

Entry 11:
16
Lattice="6.3301 0.0000 0.0000 0.0000 6.3301 0.0000 0.0000 0.0000 6.3301" Properties=species:S:1:pos:R:3 comment="Be2PtPb | Alexandria via LeMat-Bulk | GGA-PBE | optimized geometry" e_tot_ev_per_atom=-3.79 rho_g_cm3=11.0 formation_energy_ev_per_atom=0.51 dos_at_fermi_per_ev_atom=0.567 spacegroup=F-43m pbc="T T T"
Be 0.0000 0.0000 0.0000
Be 0.0000 3.1651 3.1651
Be 1.5825 1.5825 1.5825
Be 1.5825 4.7476 4.7476
Be 3.1651 0.0000 3.1651
Be 3.1651 3.1651 0.0000
Be 4.7476 1.5825 4.7476
Be 4.7476 4.7476 1.5825
Pt 1.5825 1.5825 4.7476
Pt 1.5825 4.7476 1.5825
Pt 4.7476 1.5825 1.5825
Pt 4.7476 4.7476 4.7476
Pb 0.0000 0.0000 3.1651
Pb 0.0000 3.1651 0.0000
Pb 3.1651 0.0000 0.0000
Pb 3.1651 3.1651 3.1651

Entry 12:
16
Lattice="3.9730 0.0000 0.0000 0.0000 3.9730 0.0000 0.0000 0.0000 17.6312" Properties=species:S:1:pos:R:3 comment="TiMn2Pb | Alexandria via LeMat-Bulk | GGA-PBE | optimized geometry" e_tot_ev_per_atom=-6.73 rho_g_cm3=8.7 formation_energy_ev_per_atom=0.76 dos_at_fermi_per_ev_atom=0.952 spacegroup=I-42d pbc="T T T"
Ti 0.0000 0.0000 0.0000
Ti 0.0000 1.9865 4.4078
Ti 1.9865 0.0000 13.2234
Ti 1.9865 1.9865 8.8156
Mn 0.5849 0.9932 2.2039
Mn 0.9932 2.5714 6.6117
Mn 0.9932 3.3881 15.4273
Mn 1.4016 0.9932 11.0195
Mn 2.5714 2.9797 11.0195
Mn 2.9797 0.5849 15.4273
Mn 2.9797 1.4016 6.6117
Mn 3.3881 2.9797 2.2039
Pb 0.0000 0.0000 8.8156
Pb 0.0000 1.9865 13.2234
Pb 1.9865 0.0000 4.4078
Pb 1.9865 1.9865 0.0000

Entry 13:
16
Lattice="6.5588 0.0000 0.0000 0.0000 6.5588 0.0000 0.0000 0.0000 6.5588" Properties=species:S:1:pos:R:3 comment="CrPBr2 | Alexandria via LeMat-Bulk | GGA-PBE | optimized geometry" e_tot_ev_per_atom=-3.53 rho_g_cm3=5.7 e_form_raw_mev_per_atom=1061 relative_energy_kcal_per_mol_atoms=33.20 dos_at_fermi_per_ev_atom=1.229 spacegroup=Fm-3m pbc="T T T"
Cr 0.0000 0.0000 0.0000
Cr 0.0000 3.2794 3.2794
Cr 3.2794 0.0000 3.2794
Cr 3.2794 3.2794 0.0000
P 0.0000 0.0000 3.2794
P 0.0000 3.2794 0.0000
P 3.2794 0.0000 0.0000
P 3.2794 3.2794 3.2794
Br 1.6397 1.6397 1.6397
Br 1.6397 1.6397 4.9191
Br 1.6397 4.9191 1.6397
Br 1.6397 4.9191 4.9191
Br 4.9191 1.6397 1.6397
Br 4.9191 1.6397 4.9191
Br 4.9191 4.9191 1.6397
Br 4.9191 4.9191 4.9191

Entry 14:
12
Lattice="8.7293 -2.0023 0.0000 8.7293 2.0023 0.0000 -1.8392 0.0000 7.7892" Properties=species:S:1:pos:R:3 comment="Ce2NpPa3P6 | Alexandria via LeMat-Bulk | GGA-PBE | optimized geometry" e_tot_ev_per_atom=-8.46 rho_g_cm3=8.5 formation_energy_ev_per_atom=-1.31 dos_at_fermi_per_ev_atom=1.763 spacegroup=C2/m pbc="T T T"
Ce 2.2849 0.0000 2.5946
Ce 13.3346 0.0000 5.1946
Np 8.7293 0.0000 0.0000
Pa 1.3811 0.0000 6.5063
Pa 7.8097 0.0000 3.8946
Pa 14.2383 0.0000 1.2829
P -1.3425 0.0000 5.8487
P 4.1211 0.0000 7.1743
P 5.0937 0.0000 3.1991
P 10.5257 0.0000 4.5901
P 11.4983 0.0000 0.6149
P 16.9619 0.0000 1.9405

Entry 15:
10
Lattice="7.8901 0.0000 0.0000 0.0000 4.0773 0.0000 -3.0033 0.0000 7.6845" Properties=species:S:1:pos:R:3 comment="Tb3ZnOs | Alexandria via LeMat-Bulk | GGA-PBE | optimized geometry" e_tot_ev_per_atom=-5.51 rho_g_cm3=9.8 formation_energy_ev_per_atom=-0.23 relative_energy_kcal_per_mol_atoms=1.09 dos_at_fermi_per_ev_atom=0.963 spacegroup=P2_1/m pbc="T T T"
Tb 0.1674 1.0193 1.6738
Tb -0.2829 1.0193 7.2044
Tb 1.2505 3.0579 4.6110
Tb 3.6363 1.0193 3.0735
Tb 5.1697 3.0579 0.4801
Tb 4.7195 3.0579 6.0108
Zn -1.3557 1.0193 4.5021
Zn 6.2425 3.0579 3.1824
Os 2.2849 3.0579 1.5467
Os 2.6019 1.0193 6.1379

Entry 16:
16
Lattice="7.8456 0.0000 0.0000 0.0000 7.8456 0.0000 0.0000 0.0000 7.8456" Properties=species:S:1:pos:R:3 comment="ScInI2 | Alexandria via LeMat-Bulk | GGA-PBE | optimized geometry" e_tot_ev_per_atom=-3.31 rho_g_cm3=5.7 e_form_raw_mev_per_atom=-266 dos_at_fermi_per_ev_atom=0.585 spacegroup=Fm-3m pbc="T T T"
Sc 0.0000 0.0000 0.0000
Sc 0.0000 3.9228 3.9228
Sc 3.9228 0.0000 3.9228
Sc 3.9228 3.9228 0.0000
In 0.0000 0.0000 3.9228
In 0.0000 3.9228 0.0000
In 3.9228 0.0000 0.0000
In 3.9228 3.9228 3.9228
I 1.9614 1.9614 1.9614
I 1.9614 1.9614 5.8842
I 1.9614 5.8842 1.9614
I 1.9614 5.8842 5.8842
I 5.8842 1.9614 1.9614
I 5.8842 1.9614 5.8842
I 5.8842 5.8842 1.9614
I 5.8842 5.8842 5.8842

Entry 17:
8
Lattice="6.4798 0.0000 0.0000 0.0000 3.7930 0.0000 -2.2417 0.0000 6.3100" Properties=species:S:1:pos:R:3 comment="Pr4CSO2 | Alexandria via LeMat-Bulk | GGA-PBE | optimized geometry" e_tot_ev_per_atom=-7.16 rho_g_cm3=6.8 e_form_raw_mev_per_atom=-1867 dos_at_fermi_per_ev_atom=0.311 spacegroup=P2/m pbc="T T T"
Pr 1.0270 0.0000 1.4131
Pr -0.1321 1.8965 4.8215
Pr 4.3703 1.8965 1.4885
Pr 3.2112 0.0000 4.8969
C 3.2399 0.0000 0.0000
S 2.1191 1.8965 3.1550
O -1.1208 0.0000 3.1550
O 0.0000 1.8965 0.0000

Entry 18:
11
Lattice="2.9268 1.6898 5.1253 -2.9268 1.6898 5.1253 0.0000 -3.3796 5.1253" Properties=species:S:1:pos:R:3 comment="Li2Tl2TeO6 | Alexandria via LeMat-Bulk | GGA-PBE | optimized geometry" e_tot_ev_per_atom=-4.79 rho_g_cm3=7.1 e_form_raw_mev_per_atom=-1022 dos_at_fermi_per_ev_atom=0.353 spacegroup=R-3m pbc="T T T"
Li 0.0000 0.0000 1.4482
Li 0.0000 0.0000 13.9278
Tl 0.0000 0.0000 4.4750
Tl 0.0000 0.0000 10.9010
Te 0.0000 0.0000 7.6880
O 0.0000 -1.5366 6.4759
O -1.3307 0.7683 6.4759
O -1.3307 -0.7683 8.9000
O 1.3307 0.7683 6.4759
O 1.3307 -0.7683 8.9000
O 0.0000 1.5366 8.9000

Entry 19:
5
Lattice="4.9391 0.0000 0.0000 0.0000 4.9391 0.0000 0.0000 0.0000 4.9391" Properties=species:S:1:pos:R:3 comment="CsCr3Tc | Alexandria via LeMat-Bulk | GGA-PBE | optimized geometry" e_tot_ev_per_atom=-4.88 rho_g_cm3=5.3 formation_energy_ev_per_atom=3.14 dos_at_fermi_per_ev_atom=0.459 spacegroup=Pm-3m pbc="T T T"
Cs 0.0000 0.0000 0.0000
Cr 0.0000 0.0000 2.4696
Cr 0.0000 2.4696 0.0000
Cr 2.4696 0.0000 0.0000
Tc 2.4696 2.4696 2.4696

Entry 20:
16
Lattice="8.3844 0.0000 0.0000 0.0000 8.3844 0.0000 0.0000 0.0000 8.3844" Properties=species:S:1:pos:R:3 comment="Rb2CaPt | Alexandria via LeMat-Bulk | GGA-PBE | optimized geometry" e_tot_ev_per_atom=-2.12 rho_g_cm3=4.6 formation_energy_ev_per_atom=0.37 relative_energy_kcal_per_mol_atoms=9.04 dos_at_fermi_per_ev_atom=0.210 spacegroup=Fm-3m pbc="T T T"
Rb 2.0961 2.0961 2.0961
Rb 2.0961 2.0961 6.2883
Rb 2.0961 6.2883 2.0961
Rb 2.0961 6.2883 6.2883
Rb 6.2883 2.0961 2.0961
Rb 6.2883 2.0961 6.2883
Rb 6.2883 6.2883 2.0961
Rb 6.2883 6.2883 6.2883
Ca 0.0000 0.0000 0.0000
Ca 0.0000 4.1922 4.1922
Ca 4.1922 0.0000 4.1922
Ca 4.1922 4.1922 0.0000
Pt 0.0000 0.0000 4.1922
Pt 0.0000 4.1922 0.0000
Pt 4.1922 0.0000 0.0000
Pt 4.1922 4.1922 4.1922

Entry 21:
12
Lattice="7.5934 -2.9282 0.0000 7.5934 2.9282 0.0000 -1.8955 0.0000 7.3520" Properties=species:S:1:pos:R:3 comment="Er3Cd2Pt | Alexandria via LeMat-Bulk | GGA-PBE | optimized geometry" e_tot_ev_per_atom=-4.06 rho_g_cm3=9.4 formation_energy_ev_per_atom=-0.47 relative_energy_kcal_per_mol_atoms=3.43 dos_at_fermi_per_ev_atom=0.783 spacegroup=C2/c pbc="T T T"
Er 6.1718 2.9226 5.5140
Er 4.7720 0.0009 3.1930
Er 3.8242 -0.0009 6.8690
Er 9.4672 0.0009 0.4830
Er 8.5194 -0.0009 4.1590
Er 7.1196 -2.9226 1.8380
Cd 2.7320 0.0009 0.7084
Cd 1.7843 -0.0009 4.3844
Cd 11.5071 0.0009 2.9676
Cd 10.5594 -0.0009 6.6436
Pt 7.1196 0.0055 1.8380
Pt 6.1718 -0.0055 5.5140

Entry 22:
16
Lattice="5.6887 0.0000 0.0000 0.0000 5.6887 0.0000 0.0000 0.0000 10.6199" Properties=species:S:1:pos:R:3 comment="CuSiGe2 | Alexandria via LeMat-Bulk | GGA-PBE | optimized geometry" e_tot_ev_per_atom=-4.35 rho_g_cm3=4.6 e_form_raw_mev_per_atom=334 dos_at_fermi_per_ev_atom=0.713 spacegroup=I-42d pbc="T T T"
Cu 0.0000 0.0000 0.0000
Cu 0.0000 2.8443 2.6550
Cu 2.8443 0.0000 7.9649
Cu 2.8443 2.8443 5.3099
Si 0.0000 0.0000 5.3099
Si 0.0000 2.8443 7.9649
Si 2.8443 0.0000 2.6550
Si 2.8443 2.8443 0.0000
Ge 1.3956 1.4222 1.3275
Ge 1.4222 4.2400 3.9825
Ge 1.4222 4.2930 9.2924
Ge 1.4487 1.4222 6.6374
Ge 4.2400 4.2665 6.6374
Ge 4.2665 1.3956 9.2924
Ge 4.2665 1.4487 3.9825
Ge 4.2930 4.2665 1.3275